Entry 1:
## Pm6Tl2Pb3 (PBE-GGA)

Data for an optimized crystal structure of Pm6Tl2Pb3.

## Properties
Density ... 7.9 Mg/m³
Uncorrected energy ... -4.09 eV per atom
Formation enthalpy at 0 K ... -0.055 eV per atom

a b c (Å): 11.8688 11.8688 11.8688
angles (deg): 150.79 150.79 41.78
Last column: nearest neighbours and their distance in Å.
Fractional coordinates of all 11 atoms:
Pm: 0.0852 0.5852 0.5000  2 Tl 3.02
Pm: 0.2020 0.2020 0.0000  1 Tl 3.02, 1 Pb 3.13
Pm: 0.4148 0.9148 0.5000  2 Tl 3.02
Pm: 0.5852 0.0852 0.5000  2 Tl 3.02
Pm: 0.7980 0.7980 0.0000  1 Tl 3.02, 1 Pb 3.13
Pm: 0.9148 0.4148 0.5000  2 Tl 3.02
Tl: 0.0659 0.0659 0.0000  1 Tl 2.92, 5 Pm 3.02
Tl: 0.9341 0.9341 0.0000  1 Tl 2.92, 5 Pm 3.02
Pb: 0.3429 0.3429 0.0000  5 Pm 3.13-3.39, 1 Pb 3.48
Pb: 0.5000 0.5000 0.0000  2 Pb 3.48, 8 Pm 3.54
Pb: 0.6571 0.6571 0.0000  5 Pm 3.13-3.39, 1 Pb 3.48



Entry 2:
## BaMg2Tl9 (PBE-GGA)

Data for an optimized crystal structure of BaMg2Tl9.

## Properties
Distance to the lowest polymorph of the same formula ... 0.0 meV per atom
Density ... 9.2 Mg/m³
Uncorrected energy ... -2.30 eV per atom
Formation enthalpy at 0 K ... -0.099 eV per atom

a b c (Å): 10.2219 10.2219 10.2219
angles (deg): 99.94 99.94 130.90
Last column: nearest neighbours and their distance in Å.
Fractional coordinates of all 24 atoms:
Ba: 0.3750 0.6250 0.7500  18 Tl 3.98-4.32
Ba: 0.6250 0.3750 0.2500  18 Tl 3.98-4.32
Mg: 0.0000 0.0000 0.0000  10 Tl 3.15-3.45
Mg: 0.0000 0.0000 0.5000  10 Tl 3.15-3.45
Mg: 0.0000 0.5000 0.0000  10 Tl 3.15-3.45
Mg: 0.5000 0.0000 0.5000  10 Tl 3.15-3.45
Tl: 0.1221 0.5525 0.3246  2 Mg 3.15-3.27, 6 Tl 3.22-3.49
Tl: 0.1221 0.7975 0.5695  2 Mg 3.15-3.27, 6 Tl 3.22-3.49
Tl: 0.1250 0.8750 0.2500  4 Mg 3.45, 8 Tl 3.49
Tl: 0.2025 0.2720 0.3246  2 Mg 3.15-3.27, 6 Tl 3.22-3.49
Tl: 0.2025 0.8779 0.9305  2 Mg 3.15-3.27, 6 Tl 3.22-3.49
Tl: 0.2720 0.2025 0.8246  2 Mg 3.15-3.27, 6 Tl 3.22-3.49
Tl: 0.2720 0.4475 0.0695  2 Mg 3.15-3.27, 6 Tl 3.22-3.49
Tl: 0.4475 0.2720 0.5695  2 Mg 3.15-3.27, 6 Tl 3.22-3.49
Tl: 0.4475 0.8779 0.1754  2 Mg 3.15-3.27, 6 Tl 3.22-3.49
Tl: 0.5525 0.1221 0.8246  2 Mg 3.15-3.27, 6 Tl 3.22-3.49
Tl: 0.5525 0.7280 0.4305  2 Mg 3.15-3.27, 6 Tl 3.22-3.49
Tl: 0.7280 0.5525 0.9305  2 Mg 3.15-3.27, 6 Tl 3.22-3.49
Tl: 0.7280 0.7975 0.1754  2 Mg 3.15-3.27, 6 Tl 3.22-3.49
Tl: 0.7975 0.1221 0.0695  2 Mg 3.15-3.27, 6 Tl 3.22-3.49
Tl: 0.7975 0.7280 0.6754  2 Mg 3.15-3.27, 6 Tl 3.22-3.49
Tl: 0.8750 0.1250 0.7500  4 Mg 3.45, 8 Tl 3.49
Tl: 0.8779 0.2025 0.4305  2 Mg 3.15-3.27, 6 Tl 3.22-3.49
Tl: 0.8779 0.4475 0.6754  2 Mg 3.15-3.27, 6 Tl 3.22-3.49



Entry 3:
## ErSc2UN4 (PBE-GGA)

Data for an optimized crystal structure of ErSc2UN4.

## Properties
Density ... 8.8 Mg/m³
Uncorrected energy ... -9.43 eV per atom
Formation energy from raw total energies ... -13.584 eV per formula unit

a b c (Å): 4.7147 4.7147 9.3617
angles (deg): 90.00 90.00 90.00
Last column: nearest neighbours and their distance in Å.
Fractional coordinates of all 16 atoms:
Er: 0.0000 0.0000 0.0000  6 N 2.36-2.40
Er: 0.5000 0.5000 0.5000  6 N 2.36-2.40
Sc: 0.0000 0.0000 0.5000  6 N 2.28-2.36
Sc: 0.0000 0.5000 0.2500  6 N 2.36-2.43
Sc: 0.5000 0.0000 0.7500  6 N 2.36-2.43
Sc: 0.5000 0.5000 0.0000  6 N 2.28-2.36
U: 0.0000 0.5000 0.7500  6 N 2.25-2.36
U: 0.5000 0.0000 0.2500  6 N 2.25-2.36
N: 0.0000 0.0000 0.2560  3 Sc 2.28-2.36, 2 U 2.36, 1 Er 2.40
N: 0.0000 0.0000 0.7440  3 Sc 2.28-2.36, 2 U 2.36, 1 Er 2.40
N: 0.0000 0.5000 0.5097  1 U 2.25, 2 Er 2.36, 3 Sc 2.36-2.43
N: 0.0000 0.5000 0.9903  1 U 2.25, 3 Sc 2.36-2.43, 2 Er 2.36
N: 0.5000 0.0000 0.0097  1 U 2.25, 3 Sc 2.36-2.43, 2 Er 2.36
N: 0.5000 0.0000 0.4903  1 U 2.25, 2 Er 2.36, 3 Sc 2.36-2.43
N: 0.5000 0.5000 0.2440  3 Sc 2.28-2.36, 2 U 2.36, 1 Er 2.40
N: 0.5000 0.5000 0.7560  3 Sc 2.28-2.36, 2 U 2.36, 1 Er 2.40



Entry 4:
## Mo2HRu (PBE-GGA)

Data for an optimized crystal structure of Mo2HRu.

## Properties
Distance to the lowest polymorph of the same formula ... 650.4 meV per atom
Density ... 9.2 Mg/m³
Uncorrected energy ... -7.87 eV per atom

a b c (Å): 5.9695 5.9695 5.9695
angles (deg): 90.00 90.00 90.00
Last column: nearest neighbours and their distance in Å.
Fractional coordinates of all 16 atoms:
Mo: 0.2500 0.2500 0.2500  4 H 2.58, 4 Ru 2.58
Mo: 0.2500 0.2500 0.7500  4 H 2.58, 4 Ru 2.58
Mo: 0.2500 0.7500 0.2500  4 H 2.58, 4 Ru 2.58
Mo: 0.2500 0.7500 0.7500  4 H 2.58, 4 Ru 2.58
Mo: 0.7500 0.2500 0.2500  4 H 2.58, 4 Ru 2.58
Mo: 0.7500 0.2500 0.7500  4 H 2.58, 4 Ru 2.58
Mo: 0.7500 0.7500 0.2500  4 H 2.58, 4 Ru 2.58
Mo: 0.7500 0.7500 0.7500  4 Ru 2.58, 4 H 2.58
H: 0.0000 0.0000 0.0000  8 Mo 2.58
H: 0.0000 0.5000 0.5000  8 Mo 2.58
H: 0.5000 0.0000 0.5000  8 Mo 2.58
H: 0.5000 0.5000 0.0000  8 Mo 2.58
Ru: 0.0000 0.0000 0.5000  8 Mo 2.58
Ru: 0.0000 0.5000 0.0000  8 Mo 2.58
Ru: 0.5000 0.0000 0.0000  8 Mo 2.58
Ru: 0.5000 0.5000 0.5000  8 Mo 2.58